# 1
Ga2Ge2Au PBE-GGA relaxed; energy = -3.47 eV/atom; calculated formation energy = 0.243 eV per atom; calculated density = 7.81 g cm⁻³; relative energy among the computed polymorphs = 134 meV/atom; space group = I4/mmm
1.0
-2.2045 2.2045 5.2672
2.2045 -2.2045 5.2672
2.2045 2.2045 -5.2672
Ga Ge Au
2 2 1
direct
0.2500 0.7500 0.5000
0.7500 0.2500 0.5000
0.1145 0.1145 0.0000
0.8855 0.8855 0.0000
0.5000 0.5000 0.0000

---

# 2
GaGeAu PBE-GGA relaxed; energy = -3.62 eV/atom; calculated formation energy = 0.022 eV per atom; calculated density = 9.90 g cm⁻³; space group = P1
1.0
3.3467 0.0000 0.0000
0.0282 4.2863 0.0000
0.0170 1.9055 7.9354
Ga Ge Au
2 2 2
direct
0.0000 0.0000 0.0000
0.4980 0.0307 0.4130
0.0005 0.4187 0.6516
0.4997 0.4515 0.0656
0.5006 0.8568 0.7514
0.9994 0.5974 0.3141

---

# 3
Ga2Ge2Au PBE-GGA relaxed; energy = -3.60 eV/atom; calculated formation energy = 0.116 eV per atom; calculated density = 8.18 g cm⁻³; relative energy among the computed polymorphs = 7 meV/atom; space group = P4/mbm
1.0
6.7651 0.0000 0.0000
0.0000 6.7651 0.0000
0.0000 0.0000 4.2732
Ga Ge Au
4 4 2
direct
0.1407 0.3593 0.0000
0.3593 0.8593 0.0000
0.6407 0.1407 0.0000
0.8593 0.6407 0.0000
0.1599 0.6599 0.5000
0.3401 0.1599 0.5000
0.6599 0.8401 0.5000
0.8401 0.3401 0.5000
0.0000 0.0000 0.0000
0.5000 0.5000 0.0000

---

Copy entry 3 word for word.
Ga2Ge2Au PBE-GGA relaxed; energy = -3.60 eV/atom; calculated formation energy = 0.116 eV per atom; calculated density = 8.18 g cm⁻³; relative energy among the computed polymorphs = 7 meV/atom; space group = P4/mbm
1.0
6.7651 0.0000 0.0000
0.0000 6.7651 0.0000
0.0000 0.0000 4.2732
Ga Ge Au
4 4 2
direct
0.1407 0.3593 0.0000
0.3593 0.8593 0.0000
0.6407 0.1407 0.0000
0.8593 0.6407 0.0000
0.1599 0.6599 0.5000
0.3401 0.1599 0.5000
0.6599 0.8401 0.5000
0.8401 0.3401 0.5000
0.0000 0.0000 0.0000
0.5000 0.5000 0.0000

---

- Which value of energy does entry 1 give?
  -3.47 eV/atom